[1]
CeDyYHo2, optimized geometry, DFT GGA-PBE; DFT formation energy = 0.32 eV per atom; mass density = 7.51 g/cm3; magnetic moment = 0.001 μB/f.u.; DFT total energy = -4.9083 eV per atom
1.0
5.795 0.000 0.000
0.000 7.389 0.000
0.000 0.000 7.453
Ce Dy Y Ho
2 2 2 4
Cartesian
0.000 0.000 0.000 Ce
2.897 0.000 0.000 Ce
1.449 3.695 1.121 Dy
4.346 3.695 6.332 Dy
1.449 0.000 2.802 Y
4.346 0.000 4.651 Y
1.449 2.121 5.045 Ho
1.449 5.268 5.045 Ho
4.346 2.121 2.408 Ho
4.346 5.268 2.408 Ho



[2]
Ce2Dy6YHo3, optimized geometry, DFT GGA-PBE; DFT formation energy = 0.05 eV per atom; mass density = 8.15 g/cm3; magnetic moment = 1.872 μB/f.u.; DFT total energy = -4.9242 eV per atom
1.0
3.061 -5.301 0.000
3.061 5.301 0.000
-2.041 0.000 11.539
Ce Dy Y Ho
2 6 1 3
Cartesian
3.061 3.536 0.000 Ce
3.061 -3.536 0.000 Ce
-0.011 1.781 8.654 Dy
1.008 0.000 2.887 Dy
-0.011 -1.781 8.654 Dy
4.093 1.781 2.885 Dy
3.074 0.000 8.652 Dy
4.093 -1.781 2.885 Dy
3.061 0.000 0.000 Y
-1.020 0.000 5.769 Ho
2.041 1.761 5.769 Ho
2.041 -1.761 5.769 Ho



[3]
Ce2Dy6Y3Ho, optimized geometry, DFT GGA-PBE; DFT formation energy = 0.05 eV per atom; mass density = 7.42 g/cm3; magnetic moment = 1.837 μB/f.u.; DFT total energy = -5.2387 eV per atom
1.0
3.069 -5.315 0.000
3.069 5.315 0.000
-2.046 0.000 11.569
Ce Dy Y Ho
2 6 3 1
Cartesian
3.069 3.544 0.000 Ce
3.069 -3.544 0.000 Ce
-0.010 1.782 8.701 Dy
1.013 0.000 2.871 Dy
-0.010 -1.782 8.701 Dy
4.101 1.782 2.869 Dy
3.078 0.000 8.699 Dy
4.101 -1.782 2.869 Dy
-1.023 0.000 5.785 Y
2.046 1.766 5.785 Y
2.046 -1.766 5.785 Y
3.069 0.000 0.000 Ho



[4]
CeDy6Y3Ho2, optimized geometry, DFT GGA-PBE; DFT formation energy = 0.04 eV per atom; mass density = 7.50 g/cm3; magnetic moment = 1.152 μB/f.u.; DFT total energy = -5.1368 eV per atom
1.0
3.073 -5.320 0.000
3.073 5.320 0.000
-2.046 0.000 11.589
Ce Dy Y Ho
1 6 3 2
Cartesian
0.000 0.000 0.000 Ce
1.020 1.762 2.880 Dy
-0.011 0.000 8.707 Dy
1.020 -1.762 2.880 Dy
3.080 1.762 8.708 Dy
4.111 0.000 2.882 Dy
3.080 -1.762 8.708 Dy
2.050 3.539 5.794 Y
2.050 0.000 5.794 Y
2.050 -3.539 5.794 Y
3.073 1.773 0.000 Ho
3.073 -1.773 0.000 Ho



[5]
CeDyYHo, optimized geometry, DFT GGA-PBE; DFT formation energy = 0.17 eV per atom; polymorph energy (0 for the lowest one) = 0.0000 eV/atom; mass density = 7.22 g/cm3; magnetic moment = 1.158 μB/f.u.; DFT total energy = -5.2241 eV per atom
1.0
0.000 4.001 4.001
4.001 0.000 4.001
4.001 4.001 0.000
Ce Dy Y Ho
1 1 1 1
Cartesian
0.000 0.000 0.000 Ce
4.001 4.001 4.001 Dy
2.000 2.000 2.000 Y
6.001 6.001 6.001 Ho



[6]
CeDy2Y3Ho6, optimized geometry, DFT GGA-PBE; DFT formation energy = 0.04 eV per atom; mass density = 7.59 g/cm3; magnetic moment = 1.112 μB/f.u.; DFT total energy = -5.1279 eV per atom
1.0
3.068 -5.311 0.000
3.068 5.311 0.000
-2.042 0.000 11.559
Ce Dy Y Ho
1 2 3 6
Cartesian
0.000 0.000 0.000 Ce
3.068 1.769 0.000 Dy
3.068 -1.769 0.000 Dy
2.047 3.533 5.780 Y
2.047 0.000 5.780 Y
2.047 -3.533 5.780 Y
1.019 1.758 2.878 Ho
-0.013 0.000 8.678 Ho
1.019 -1.758 2.878 Ho
3.074 1.758 8.681 Ho
4.106 0.000 2.881 Ho
3.074 -1.758 8.681 Ho